[1]
K4Dy3AlO8 | GGA-PBE | relaxed

```
data_K4Dy3AlO8
_chemical_formula_sum 'K12 Dy9 Al3 O24'
_symmetry_space_group_name_H-M 'R -3 m'
_symmetry_Int_Tables_number 166
_symmetry_space_group_name_Hall '-R 3 2"'
_cell_length_a 6.7413
_cell_length_b 6.7413
_cell_length_c 18.6791
_cell_angle_alpha 90.00
_cell_angle_beta 90.00
_cell_angle_gamma 120.00
loop_
_atom_site_label
_atom_site_type_symbol
_atom_site_fract_x
_atom_site_fract_y
_atom_site_fract_z
_atom_site_occupancy
K1 K 0.0000 0.0000 0.0000 1
K2 K 0.0000 0.5000 0.0000 1
Dy1 Dy 0.0000 0.5000 0.5000 1
Al1 Al 0.0000 0.0000 0.5000 1
O1 O 0.0000 0.0000 0.2292 1
O2 O 0.0277 0.5139 0.2258 1
```

## Properties
ΔE_f (raw)   -2569 meV/atom
Total magnetic moment   0.000 μB/f.u.



[2]
Nd12Si3O5 | GGA-PBE | relaxed

```
data_Nd12Si3O5
_chemical_formula_sum 'Nd96 Si24 O40'
_symmetry_space_group_name_H-M 'I a -3 d'
_symmetry_Int_Tables_number 230
_symmetry_space_group_name_Hall '-I 4bd 2c 3'
_cell_length_a 15.790
_cell_length_b 15.790
_cell_length_c 15.790
_cell_angle_alpha 90.00
_cell_angle_beta 90.00
_cell_angle_gamma 90.00
loop_
_atom_site_label
_atom_site_type_symbol
_atom_site_fract_x
_atom_site_fract_y
_atom_site_fract_z
_atom_site_occupancy
Nd1 Nd 0.035 0.054 0.650 1
Si1 Si 0.000 0.250 0.125 1
O1 O 0.000 0.000 0.000 1
O2 O 0.000 0.250 0.375 1
```

## Properties
ΔE_f (raw)   -1553 meV/atom
Total magnetic moment   1.525 μB/f.u.



[3]
Mn2SiHPd | GGA-PBE | relaxed

```
data_Mn2SiHPd
_chemical_formula_sum 'Mn2 Si1 H1 Pd1'
_symmetry_space_group_name_H-M 'P 4/m m m'
_symmetry_Int_Tables_number 123
_symmetry_space_group_name_Hall '-P 4 2'
_cell_length_a 3.715
_cell_length_b 3.715
_cell_length_c 3.939
_cell_angle_alpha 90.00
_cell_angle_beta 90.00
_cell_angle_gamma 90.00
loop_
_atom_site_label
_atom_site_type_symbol
_atom_site_fract_x
_atom_site_fract_y
_atom_site_fract_z
_atom_site_occupancy
Mn1 Mn 0.000 0.500 0.000 1
Si1 Si 0.000 0.000 0.500 1
H1 H 0.500 0.500 0.000 1
Pd1 Pd 0.500 0.500 0.500 1
```

## Properties
E   -6.6314 eV per atom
Total magnetic moment   4.891 μB/f.u.



[4]
LaMgZn2Pt2 | GGA-PBE | relaxed

```
data_LaMgZn2Pt2
_chemical_formula_sum 'La1 Mg1 Zn2 Pt2'
_symmetry_space_group_name_H-M 'P -3 m 1'
_symmetry_Int_Tables_number 164
_symmetry_space_group_name_Hall '-P 3 2"'
_cell_length_a 4.4468
_cell_length_b 4.4468
_cell_length_c 6.8668
_cell_angle_alpha 90.00
_cell_angle_beta 90.00
_cell_angle_gamma 120.00
loop_
_atom_site_label
_atom_site_type_symbol
_atom_site_fract_x
_atom_site_fract_y
_atom_site_fract_z
_atom_site_occupancy
La1 La 0.0000 0.0000 0.0000 1
Mg1 Mg 0.0000 0.0000 0.5000 1
Zn1 Zn 0.3333 0.6667 0.3147 1
Pt1 Pt 0.3333 0.6667 0.7138 1
```

## Properties
Formation energy   -0.804 eV/atom
Total magnetic moment   0.000 μB/f.u.



[5]
Er2Mg3Ag3 | GGA-PBE | relaxed

```
data_Er2Mg3Ag3
_chemical_formula_sum 'Er2 Mg3 Ag3'
_symmetry_space_group_name_H-M 'P -6 2 m'
_symmetry_Int_Tables_number 189
_symmetry_space_group_name_Hall 'P -6 -2'
_cell_length_a 8.2264
_cell_length_b 8.2264
_cell_length_c 3.1079
_cell_angle_alpha 90.00
_cell_angle_beta 90.00
_cell_angle_gamma 120.00
loop_
_atom_site_label
_atom_site_type_symbol
_atom_site_fract_x
_atom_site_fract_y
_atom_site_fract_z
_atom_site_occupancy
Er1 Er 0.3333 0.6667 0.0000 1
Mg1 Mg 0.0000 0.2255 0.0000 1
Ag1 Ag 0.0000 0.6571 0.5000 1
```

## Properties
Formation energy   -0.059 eV/atom
Total magnetic moment   0.000 μB/f.u.



[6]
PrNiBr | GGA-PBE | relaxed

```
data_PrNiBr
_chemical_formula_sum 'Pr2 Ni2 Br2'
_symmetry_space_group_name_H-M 'P 1 21/m 1'
_symmetry_Int_Tables_number 11
_cell_length_a 3.806
_cell_length_b 4.263
_cell_length_c 10.068
_cell_angle_alpha 90.00
_cell_angle_beta 90.01
_cell_angle_gamma 90.00
loop_
_symmetry_equiv_pos_as_xyz
'x,y,z'
'-x,-y,-z'
'-x,y+1/2,-z'
'x,-y+1/2,z'
loop_
_atom_site_label
_atom_site_type_symbol
_atom_site_fract_x
_atom_site_fract_y
_atom_site_fract_z
_atom_site_occupancy
Pr1 Pr 0.000 0.250 0.160 1
Ni1 Ni 0.500 0.250 0.946 1
Br1 Br 0.499 0.750 0.319 1
```

## Properties
ΔE_f (raw)   -917 meV/atom
Total magnetic moment   0.000 μB/f.u.



[7]
AlSiSe2 | GGA-PBE | relaxed

```
data_AlSiSe2
_chemical_formula_sum 'Al3 Si3 Se6'
_symmetry_space_group_name_H-M 'R -3 m'
_symmetry_Int_Tables_number 166
_symmetry_space_group_name_Hall '-R 3 2"'
_cell_length_a 3.5046
_cell_length_b 3.5046
_cell_length_c 25.6722
_cell_angle_alpha 90.00
_cell_angle_beta 90.00
_cell_angle_gamma 120.00
loop_
_atom_site_label
_atom_site_type_symbol
_atom_site_fract_x
_atom_site_fract_y
_atom_site_fract_z
_atom_site_occupancy
Al1 Al 0.0000 0.0000 0.0000 1
Si1 Si 0.0000 0.0000 0.5000 1
Se1 Se 0.0000 0.0000 0.1098 1
```

## Properties
ΔE_f (raw)   -9 meV/atom
Total magnetic moment   0.000 μB/f.u.
Energy above the lowest structure with this stoichiometry   139 kJ/mol of formula units



[8]
Nd5Ho4Th | GGA-PBE | relaxed

```
data_Nd5Ho4Th
_chemical_formula_sum 'Nd10 Ho8 Th2'
_symmetry_space_group_name_H-M 'C 1 2/m 1'
_symmetry_Int_Tables_number 12
_cell_length_a 18.299
_cell_length_b 3.582
_cell_length_c 10.606
_cell_angle_alpha 90.00
_cell_angle_beta 96.65
_cell_angle_gamma 90.00
loop_
_symmetry_equiv_pos_as_xyz
'x,y,z'
'-x,-y,-z'
'-x,y,-z'
'x,-y,z'
'x+1/2,y+1/2,z'
'-x+1/2,-y+1/2,-z'
'-x+1/2,y+1/2,-z'
'x+1/2,-y+1/2,z'
loop_
_atom_site_label
_atom_site_type_symbol
_atom_site_fract_x
_atom_site_fract_y
_atom_site_fract_z
_atom_site_occupancy
Nd1 Nd 0.000 0.000 0.000 1
Nd2 Nd 0.138 0.500 0.722 1
Nd3 Nd 0.190 0.500 0.098 1
Ho1 Ho 0.048 0.500 0.262 1
Ho2 Ho 0.181 0.000 0.417 1
Th1 Th 0.000 0.000 0.500 1
```

## Properties
Formation energy   0.149 eV/atom
Total magnetic moment   0.000 μB/f.u.
Energy above the lowest structure with this stoichiometry   103 kJ/mol of formula units



[9]
SrEuBiCl | GGA-PBE | relaxed

```
data_SrEuBiCl
_chemical_formula_sum 'Sr4 Eu4 Bi4 Cl4'
_symmetry_space_group_name_H-M 'F -4 3 m'
_symmetry_Int_Tables_number 216
_symmetry_space_group_name_Hall 'F -4 2 3'
_cell_length_a 8.009
_cell_length_b 8.009
_cell_length_c 8.009
_cell_angle_alpha 90.00
_cell_angle_beta 90.00
_cell_angle_gamma 90.00
loop_
_atom_site_label
_atom_site_type_symbol
_atom_site_fract_x
_atom_site_fract_y
_atom_site_fract_z
_atom_site_occupancy
Sr1 Sr 0.000 0.000 0.000 1
Eu1 Eu 0.000 0.000 0.500 1
Bi1 Bi 0.250 0.250 0.250 1
Cl1 Cl 0.250 0.250 0.750 1
```

## Properties
ΔE_f (raw)   -1307 meV/atom
Total magnetic moment   7.000 μB/f.u.



[10]
Nb2VCu2Rh5 | GGA-PBE | relaxed

```
data_Nb2VCu2Rh5
_chemical_formula_sum 'Nb4 V2 Cu4 Rh10'
_symmetry_space_group_name_H-M 'P 4/m b m'
_symmetry_Int_Tables_number 127
_symmetry_space_group_name_Hall '-P 4 2ab'
_cell_length_a 8.919
_cell_length_b 8.919
_cell_length_c 3.735
_cell_angle_alpha 90.00
_cell_angle_beta 90.00
_cell_angle_gamma 90.00
loop_
_atom_site_label
_atom_site_type_symbol
_atom_site_fract_x
_atom_site_fract_y
_atom_site_fract_z
_atom_site_occupancy
Nb1 Nb 0.174 0.326 0.000 1
V1 V 0.000 0.000 0.000 1
Cu1 Cu 0.123 0.623 0.000 1
Rh1 Rh 0.000 0.500 0.500 1
Rh2 Rh 0.092 0.808 0.500 1
```

## Properties
Formation energy   -0.125 eV/atom
Total magnetic moment   0.000 μB/f.u.



[11]
Zr2AgSe | GGA-PBE | relaxed

```
data_Zr2AgSe
_chemical_formula_sum 'Zr2 Ag1 Se1'
_symmetry_space_group_name_H-M 'P 4/m m m'
_symmetry_Int_Tables_number 123
_symmetry_space_group_name_Hall '-P 4 2'
_cell_length_a 3.408
_cell_length_b 3.408
_cell_length_c 6.826
_cell_angle_alpha 90.00
_cell_angle_beta 90.00
_cell_angle_gamma 90.00
loop_
_atom_site_label
_atom_site_type_symbol
_atom_site_fract_x
_atom_site_fract_y
_atom_site_fract_z
_atom_site_occupancy
Zr1 Zr 0.000 0.000 0.238 1
Ag1 Ag 0.500 0.500 0.500 1
Se1 Se 0.500 0.500 0.000 1
```

## Properties
ΔE_f (raw)   -466 meV/atom
Total magnetic moment   0.000 μB/f.u.



[12]
Ba2PtRh | GGA-PBE | relaxed

```
data_Ba2PtRh
_chemical_formula_sum 'Ba2 Pt1 Rh1'
_symmetry_space_group_name_H-M 'P 4/m m m'
_symmetry_Int_Tables_number 123
_symmetry_space_group_name_Hall '-P 4 2'
_cell_length_a 3.903
_cell_length_b 3.903
_cell_length_c 7.410
_cell_angle_alpha 90.00
_cell_angle_beta 90.00
_cell_angle_gamma 90.00
loop_
_atom_site_label
_atom_site_type_symbol
_atom_site_fract_x
_atom_site_fract_y
_atom_site_fract_z
_atom_site_occupancy
Ba1 Ba 0.000 0.000 0.248 1
Pt1 Pt 0.500 0.500 0.000 1
Rh1 Rh 0.500 0.500 0.500 1
```

## Properties
Formation energy   -0.230 eV/atom
Total magnetic moment   0.000 μB/f.u.